1.
Material: LiTc2Mo
Method: DFT, PBE-GGA
State: optimized geometry

Values from the calculation:
- crystal system = tetragonal
- total magnetization (μB/cell) = 0.0
- distance to the lowest polymorph of the same formula (meV/atom) = 567
- ΔH_f (0 K) (eV/atom) = 0.75

abc: 6.8945 6.8945 5.5403
angles: 51.52 51.52 90.00
Closest atoms and distances in Å follow each position.
Sites, in units of the cell vectors:
Tc 0.1101 0.6250 0.2500  2 Mo 2.46, 2 Li 2.60, 2 Tc 2.64
Tc 0.3750 0.3601 0.7500  2 Mo 2.46, 2 Li 2.60, 2 Tc 2.64
Tc 0.8750 0.8899 0.7500  2 Mo 2.46, 2 Li 2.60, 2 Tc 2.64
Tc 0.6399 0.1250 0.2500  2 Mo 2.46, 2 Li 2.60, 2 Tc 2.64
Li 0.2500 0.7500 0.5000  4 Tc 2.60, 2 Mo 2.63
Li 0.5000 0.5000 0.0000  4 Tc 2.60, 2 Mo 2.63
Mo 0.0000 0.0000 0.0000  4 Tc 2.46, 2 Li 2.63
Mo 0.7500 0.2500 0.5000  4 Tc 2.46, 2 Li 2.63


2.
Material: Li2TcMo
Method: DFT, PBE-GGA
State: optimized geometry

Values from the calculation:
- crystal system = cubic
- total magnetization (μB/cell) = 0.0
- distance to the lowest polymorph of the same formula (meV/atom) = 616
- ΔH_f (0 K) (eV/atom) = 0.80

abc: 4.1778 4.1778 4.1778
angles: 60.00 60.00 60.00
Closest atoms and distances in Å follow each position.
Sites, in units of the cell vectors:
Mo 0.0000 0.0000 0.0000  8 Li 2.56
Tc 0.5000 0.5000 0.5000  8 Li 2.56
Li 0.2500 0.2500 0.2500  4 Tc 2.56, 4 Mo 2.56
Li 0.7500 0.7500 0.7500  4 Tc 2.56, 4 Mo 2.56


3.
Material: Li2TcMo
Method: DFT, PBE-GGA
State: optimized geometry

Values from the calculation:
- crystal system = trigonal
- total magnetization (μB/cell) = 0.0
- distance to the lowest polymorph of the same formula (meV/atom) = 60
- ΔH_f (0 K) (eV/atom) = 0.24

abc: 9.8142 9.8142 9.8142
angles: 16.09 16.09 16.09
Closest atoms and distances in Å follow each position.
Sites, in units of the cell vectors:
Tc 0.7517 0.7517 0.7517  6 Tc 2.75, 3 Mo 2.75, 3 Li 2.81
Li 0.0050 0.0050 0.0050  6 Li 2.75, 3 Tc 2.81
Li 0.2474 0.2474 0.2474  6 Li 2.75, 3 Mo 2.93
Mo 0.4958 0.4958 0.4958  6 Mo 2.75, 3 Tc 2.75, 3 Li 2.93


4.
Material: LiTcMo2
Method: DFT, PBE-GGA
State: optimized geometry

Values from the calculation:
- crystal system = monoclinic
- total magnetization (μB/cell) = 0.0
- distance to the lowest polymorph of the same formula (meV/atom) = 33
- ΔH_f (0 K) (eV/atom) = 0.25

abc: 5.1689 5.1689 2.6323
angles: 80.46 80.46 117.39
Closest atoms and distances in Å follow each position.
Sites, in units of the cell vectors:
Mo 0.0000 0.0000 0.0000  4 Mo 2.63-2.69, 2 Li 2.70, 2 Tc 2.70
Mo 0.5000 0.5000 0.0000  4 Mo 2.63-2.69, 2 Tc 2.70, 2 Li 2.70
Tc 0.5000 0.0000 0.5000  2 Tc 2.63, 2 Li 2.69, 4 Mo 2.70
Li 0.0000 0.5000 0.5000  2 Li 2.63, 2 Tc 2.69, 4 Mo 2.70


5.
Material: Li2Tc2Mo
Method: DFT, PBE-GGA
State: optimized geometry

Values from the calculation:
- crystal system = tetragonal
- total magnetization (μB/cell) = 0.0
- distance to the lowest polymorph of the same formula (meV/atom) = 8
- ΔH_f (0 K) (eV/atom) = 0.57

abc: 3.1789 3.1789 7.7442
angles: 78.16 78.16 90.00
Closest atoms and distances in Å follow each position.
Sites, in units of the cell vectors:
Tc 0.5936 0.5936 0.8128  4 Mo 2.64, 1 Tc 2.78, 4 Li 2.81
Tc 0.4064 0.4064 0.1872  4 Mo 2.64, 1 Tc 2.78, 4 Li 2.81
Li 0.7500 0.2500 0.5000  4 Li 2.25
Li 0.2500 0.7500 0.5000  4 Li 2.25
Mo 0.0000 0.0000 0.0000  8 Tc 2.64


6.
Material: LiTcMo
Method: DFT, PBE-GGA
State: optimized geometry

Values from the calculation:
- crystal system = tetragonal
- total magnetization (μB/cell) = 0.0
- distance to the lowest polymorph of the same formula (meV/atom) = 152
- ΔH_f (0 K) (eV/atom) = 0.30

abc: 4.6869 4.6869 4.6869
angles: 139.81 139.81 58.14
Closest atoms and distances in Å follow each position.
Sites, in units of the cell vectors:
Mo 0.3281 0.3281 0.0000  5 Tc 2.62-2.79, 5 Li 2.66-2.69
Li 0.0028 0.0028 0.0000  5 Tc 2.65-2.73, 5 Mo 2.66-2.69
Tc 0.6691 0.6691 0.0000  5 Mo 2.62-2.79, 5 Li 2.65-2.73


7.
Material: LiTcMo3
Method: DFT, PBE-GGA
State: optimized geometry

Values from the calculation:
- crystal system = cubic
- total magnetization (μB/cell) = 0.7
- distance to the lowest polymorph of the same formula (meV/atom) = 248
- ΔH_f (0 K) (eV/atom) = 1.53

abc: 4.7302 4.7302 4.7302
angles: 90.00 90.00 90.00
Closest atoms and distances in Å follow each position.
Sites, in units of the cell vectors:
Mo 0.0000 0.0000 0.5000  2 Tc 2.37
Mo 0.5000 0.0000 0.0000  2 Tc 2.37
Mo 0.0000 0.5000 0.0000  2 Tc 2.37
Tc 0.0000 0.0000 0.0000  6 Mo 2.37
Li 0.5000 0.5000 0.5000  12 Mo 3.34


8.
Material: Li2Tc2Mo
Method: DFT, PBE-GGA
State: optimized geometry

Values from the calculation:
- crystal system = tetragonal
- total magnetization (μB/cell) = 0.0
- distance to the lowest polymorph of the same formula (meV/atom) = 0
- ΔH_f (0 K) (eV/atom) = 0.56

abc: 7.3904 7.3904 2.5276
angles: 90.00 90.00 90.00
Closest atoms and distances in Å follow each position.
Sites, in units of the cell vectors:
Tc 0.1174 0.3826 0.0000  3 Tc 2.45-2.53, 6 Li 2.47-2.58
Tc 0.3826 0.8826 0.0000  3 Tc 2.45-2.53, 6 Li 2.47-2.58
Tc 0.6174 0.1174 0.0000  3 Tc 2.45-2.53, 6 Li 2.47-2.58
Tc 0.8826 0.6174 0.0000  3 Tc 2.45-2.53, 6 Li 2.47-2.58
Mo 0.0000 0.0000 0.0000  2 Mo 2.53
Mo 0.5000 0.5000 0.0000  2 Mo 2.53
Li 0.1800 0.6800 0.5000  6 Tc 2.47-2.58, 2 Li 2.53
Li 0.8200 0.3200 0.5000  6 Tc 2.47-2.58, 2 Li 2.53
Li 0.3200 0.1800 0.5000  6 Tc 2.47-2.58, 2 Li 2.53
Li 0.6800 0.8200 0.5000  6 Tc 2.47-2.58, 2 Li 2.53


9.
Material: LiTcMo2
Method: DFT, PBE-GGA
State: optimized geometry

Values from the calculation:
- crystal system = orthorhombic
- total magnetization (μB/cell) = 0.0
- distance to the lowest polymorph of the same formula (meV/atom) = 71
- ΔH_f (0 K) (eV/atom) = 0.28

abc: 5.1270 5.1270 5.1270
angles: 144.57 129.63 63.08
Closest atoms and distances in Å follow each position.
Sites, in units of the cell vectors:
Li 0.2500 0.7500 0.5000  4 Tc 2.68, 4 Mo 2.78
Mo 0.9864 0.9864 0.0000  2 Tc 2.59, 4 Mo 2.69, 2 Li 2.78
Mo 0.5136 0.5136 0.0000  2 Tc 2.59, 4 Mo 2.69, 2 Li 2.78
Tc 0.7500 0.2500 0.5000  4 Mo 2.59, 4 Li 2.68


10.
Material: LiTc2Mo
Method: DFT, PBE-GGA
State: optimized geometry

Values from the calculation:
- crystal system = monoclinic
- total magnetization (μB/cell) = 0.0
- distance to the lowest polymorph of the same formula (meV/atom) = 0
- ΔH_f (0 K) (eV/atom) = 0.18

abc: 4.3000 2.6181 5.1688
angles: 82.29 90.00 90.00
Closest atoms and distances in Å follow each position.
Sites, in units of the cell vectors:
Tc 0.0000 0.9726 0.0111  4 Tc 2.59-2.89, 2 Li 2.63, 2 Mo 2.64
Tc 0.0000 0.5274 0.4889  4 Tc 2.59-2.89, 2 Li 2.63, 2 Mo 2.64
Li 0.5000 0.2500 0.2500  2 Li 2.62, 4 Tc 2.63, 2 Mo 2.74
Mo 0.5000 0.7500 0.7500  2 Mo 2.62, 4 Tc 2.64, 2 Li 2.74


11.
Material: LiTcMo2
Method: DFT, PBE-GGA
State: optimized geometry

Values from the calculation:
- crystal system = orthorhombic
- total magnetization (μB/cell) = 0.0
- distance to the lowest polymorph of the same formula (meV/atom) = 62
- ΔH_f (0 K) (eV/atom) = 0.28

abc: 2.6623 2.6623 9.2784
angles: 90.00 90.00 109.42
Closest atoms and distances in Å follow each position.
Sites, in units of the cell vectors:
Mo 0.0000 0.0000 0.4906  4 Mo 2.66, 2 Tc 2.71, 2 Li 2.86
Mo 0.0000 0.0000 0.0094  4 Mo 2.66, 2 Tc 2.71, 2 Li 2.86
Li 0.5000 0.5000 0.7500  4 Li 2.66, 4 Mo 2.86
Tc 0.5000 0.5000 0.2500  4 Tc 2.66, 4 Mo 2.71


12.
Material: LiTc2Mo
Method: DFT, PBE-GGA
State: optimized geometry

Values from the calculation:
- crystal system = orthorhombic
- total magnetization (μB/cell) = 0.0
- distance to the lowest polymorph of the same formula (meV/atom) = 96
- ΔH_f (0 K) (eV/atom) = 0.28

abc: 2.6457 2.6457 9.2779
angles: 90.00 90.00 111.12
Closest atoms and distances in Å follow each position.
Sites, in units of the cell vectors:
Tc 0.0000 0.0000 0.0040  6 Tc 2.65-2.67, 2 Mo 2.72
Tc 0.5000 0.5000 0.2425  6 Tc 2.65-2.67, 2 Li 2.77
Li 0.0000 0.0000 0.4940  4 Li 2.65, 2 Tc 2.77, 2 Mo 2.88
Mo 0.5000 0.5000 0.7595  4 Mo 2.65, 2 Tc 2.72, 2 Li 2.88


> What is the ΔH_f (0 K) in the fifth record?

0.57 eV/atom


> What is the distance to the lowest polymorph of the same formula in the second record?

616 meV/atom


> The lowest ΔH_f (0 K) belongs to which entry?

number 10


> Number 4 is which compound?

LiTcMo2